No. 1
Computed, not measured: a relaxed CuW2Au crystal at the PBE level of DFT.

The structure in POSCAR format:
```
CuW2Au
1.0
-4.307 -6.726 5.109
-1.962 -8.106 4.510
-2.046 -6.387 6.701
Au Cu W
1 1 2
direct
0.750 0.750 0.750
0.250 0.250 0.250
0.996 0.996 0.996
0.504 0.504 0.504
```

Summary:
Its total energy is -7.87 eV/atom. The value obtained for the excess energy over the best structure of this formula in the dataset is 228 meV per atom. The value obtained for the formation energy is 43.8 kJ/mol of atoms.

---

No. 2
Computed, not measured: a relaxed NpTl2O2F2 crystal at the PBE level of DFT.

The structure in POSCAR format:
```
NpTl2O2F2
1.0
-0.349 -2.226 -3.742
-3.447 -2.152 1.602
-2.597 7.396 -1.608
Np Tl O F
1 2 2 2
direct
0.000 0.000 0.000
0.355 0.355 0.710
0.645 0.645 0.290
0.000 0.500 0.000
0.500 0.000 0.000
0.155 0.155 0.310
0.845 0.845 0.690
```

Summary:
As for the formation energy without anion corrections: -2.2495 eV/atom. Its total energy is -6.73 eV/atom.